VASP calculation (GGA+U) on a relaxed Mn3CdO4 crystal.

Summary:
E_tot in eV/atom: -6.846
Theoretical density in g cm⁻³: 5.883

Cell: 3.239 5.617 5.617 Å, 109.56 90.00 90.00°
Last column: magnetic moment on the atom in μB.
Atoms (fractional coordinates):
1 Mn 0.500 0.500 0.500  4.62
2 Mn 0.000 0.500 0.000  4.65
3 Mn 0.000 0.000 0.500  4.65
4 O 0.500 0.257 0.743  0.11
5 O 0.500 0.743 0.257  0.11
6 O 0.000 0.264 0.264  0.09
7 O 0.000 0.736 0.736  0.09
8 Cd 0.500 0.000 0.000  0.03